1.
LaErGaGe: relaxed, GGA-PBE.

Cell lengths 4.081, 4.422, 11.174 Å; angles 90.00, 90.00, 90.00 degrees
Space group Amm2 (No. 38)
Unique sites:
La 0.000 0.000 0.000 [2 per cell]
Er 0.500 0.000 0.278 [2 per cell]
Ga 0.500 0.000 0.572 [2 per cell]
Ge 0.000 0.000 0.722 [2 per cell]

Values from the calculation:
The calculated density is 7.387 g/cm³. The formation energy comes out at -0.738 eV per atom. The value obtained for the raw total energy is -5.02 eV per atom.

=====

2.
LaErGaGe: relaxed, GGA-PBE.

Cell lengths 7.312, 7.312, 7.312 Å; angles 90.00, 90.00, 90.00 degrees
Space group F-43m (No. 216)
Unique sites:
La 0.000 0.000 0.000 [4 per cell]
Er 0.000 0.000 0.500 [4 per cell]
Ga 0.250 0.250 0.750 [4 per cell]
Ge 0.250 0.250 0.250 [4 per cell]

Values from the calculation:
The calculated density is 7.621 g/cm³. The formation energy comes out at -0.591 eV per atom. The value obtained for the raw total energy is -4.87 eV per atom.